[1]
## Pm2PuThP4 (PBE)

Data for an optimized crystal structure of Pm2PuThP4. Values from VASP.

```
&SYSTEM
  ibrav = 0, nat = 8, ntyp = 4
/
ATOMIC_SPECIES
Pm 145.00 Pm.upf
Pu 244.00 Pu.upf
Th 232.04 Th.upf
P 30.97 P.upf
ATOMIC_POSITIONS angstrom
Pm 0.000 0.000 0.000
Pm 3.551 2.056 0.000
Pu -1.191 2.056 3.353
Th 2.360 0.000 3.353
P -0.041 0.000 4.974
P 1.159 2.056 1.703
P 3.562 2.056 5.003
P 4.762 0.000 1.732
CELL_PARAMETERS angstrom
7.103 0.000 0.000
0.000 4.112 0.000
-2.382 0.000 6.706
```

Results
**Calculated formation energy**: -1.47 eV per atom
**Symmetry**: P2/m, No. 10

[2]
## Mg2Zn3Pt2 (PBE)

Data for an optimized crystal structure of Mg2Zn3Pt2. Values from VASP.

```
&SYSTEM
  ibrav = 0, nat = 7, ntyp = 3
/
ATOMIC_SPECIES
Mg 24.30 Mg.upf
Zn 65.41 Zn.upf
Pt 195.08 Pt.upf
ATOMIC_POSITIONS angstrom
Mg 0.729 0.000 1.784
Mg 6.330 0.000 4.471
Zn 3.349 0.000 0.345
Zn 3.530 0.000 3.128
Zn 3.710 0.000 5.911
Pt -0.211 0.000 4.400
Pt 7.270 0.000 1.856
CELL_PARAMETERS angstrom
4.649 -2.048 0.000
4.649 2.048 0.000
-2.238 0.000 6.256
```

Results
**Calculated formation energy**: -0.54 eV per atom
**Symmetry**: C2/m, No. 12
**Energy relative to the lowest polymorph listed for this composition**: 0.0000 eV per atom

[3]
## Nd2Co17 (PBE)

Data for an optimized crystal structure of Nd2Co17. Values from VASP.

```
&SYSTEM
  ibrav = 0, nat = 19, ntyp = 2
/
ATOMIC_SPECIES
Nd 144.24 Nd.upf
Co 58.93 Co.upf
ATOMIC_POSITIONS angstrom
Nd 0.000 0.000 1.891
Nd 0.000 0.000 10.287
Co -2.095 -1.209 4.059
Co 0.000 -2.378 3.908
Co -2.060 1.189 3.908
Co -1.194 -2.067 6.089
Co -2.387 0.000 6.089
Co -2.060 -1.189 8.270
Co 0.000 0.000 4.921
Co -2.095 1.209 8.119
Co 1.194 -2.067 6.089
Co 0.000 2.419 4.059
Co -1.194 2.067 6.089
Co 0.000 0.000 7.257
Co 2.060 1.189 3.908
Co 2.387 0.000 6.089
Co 1.194 2.067 6.089
Co 2.060 -1.189 8.270
Co 0.000 2.378 8.270
CELL_PARAMETERS angstrom
4.190 2.419 4.059
-4.190 2.419 4.059
0.000 -4.838 4.059
```

Results
**Calculated formation energy**: -0.05 eV per atom
**Symmetry**: R-3m, No. 166

[4]
## La4Pm4Y (PBE)

Data for an optimized crystal structure of La4Pm4Y. Values from VASP.

```
&SYSTEM
  ibrav = 0, nat = 9, ntyp = 3
/
ATOMIC_SPECIES
La 138.91 La.upf
Pm 145.00 Pm.upf
Y 88.91 Y.upf
ATOMIC_POSITIONS angstrom
La 1.848 1.848 0.000
La 3.655 -3.655 2.620
La -3.655 3.655 2.620
La 3.655 3.655 2.620
Pm 5.503 1.828 0.000
Pm 1.828 5.503 0.000
Pm 3.676 0.000 2.620
Pm 0.000 3.676 2.620
Y 0.000 0.000 2.620
CELL_PARAMETERS angstrom
-5.503 5.503 2.620
5.503 -5.503 2.620
5.503 5.503 -2.620
```

Results
**Calculated formation energy**: 0.02 eV per atom
**Symmetry**: I4/mmm, No. 139

[5]
## NdDyHg4 (PBE)

Data for an optimized crystal structure of NdDyHg4. Values from VASP.

```
&SYSTEM
  ibrav = 0, nat = 6, ntyp = 3
/
ATOMIC_SPECIES
Nd 144.24 Nd.upf
Dy 162.50 Dy.upf
Hg 200.59 Hg.upf
ATOMIC_POSITIONS angstrom
Nd 0.000 0.000 0.000
Dy 6.355 6.355 6.355
Hg 3.178 3.178 3.178
Hg 5.295 5.295 3.178
Hg 5.295 3.178 5.295
Hg 3.178 5.295 5.295
CELL_PARAMETERS angstrom
0.000 4.237 4.237
4.237 0.000 4.237
4.237 4.237 0.000
```

Results
**Calculated formation energy**: -0.23 eV per atom
**Symmetry**: F-43m, No. 216
**Energy relative to the lowest polymorph listed for this composition**: 0.1172 eV per atom

[6]
## Y2SiAu (PBE)

Data for an optimized crystal structure of Y2SiAu. Values from VASP.

```
&SYSTEM
  ibrav = 0, nat = 4, ntyp = 3
/
ATOMIC_SPECIES
Y 88.91 Y.upf
Si 28.09 Si.upf
Au 196.97 Au.upf
ATOMIC_POSITIONS angstrom
Y 0.000 0.000 1.750
Y 0.000 0.000 5.469
Si 1.774 1.774 0.000
Au 1.774 1.774 3.609
CELL_PARAMETERS angstrom
3.549 0.000 0.000
0.000 3.549 0.000
0.000 0.000 7.218
```

Results
**Symmetry**: P4/mmm, No. 123
**Formation energy from raw total energies**: -0.693 eV/atom

The following M_tot values (in μB/f.u.) correspond, in order, to the records above: 5.19; 0.00; 25.06; 0.00; 0.00; 0.00.